Record 1
Entry from Alexandria via LeMat-Bulk: crystalline PaTl2SbS5 at its relaxed geometry (GGA-PBE).

E_form (uncorrected)   -0.76 eV per atom
Total magnetic moment   0.0 Bohr magnetons per cell

Cell: 4.211 17.622 14.547 Å, 90.00 90.00 90.00°
Space group Cmc2_1 (No. 36)
Symmetry-distinct sites (fractional):
Pa: 0.000 0.221 0.000
Tl: 0.000 0.090 0.627
Tl: 0.000 0.133 0.276
Sb: 0.000 0.461 0.412
S: 0.000 0.074 0.029
S: 0.000 0.267 0.612
S: 0.000 0.315 0.382
S: 0.000 0.360 0.958
S: 0.000 0.499 0.251

Record 2
Entry from Alexandria via LeMat-Bulk: crystalline ScPaS at its relaxed geometry (GGA-PBE).

E_form (uncorrected)   -0.94 eV per atom
Total magnetic moment   0.0 Bohr magnetons per cell

Cell: 3.3971 3.3971 12.9076 Å, 90.00 90.00 120.00°
Space group P-6m2 (No. 187)
Symmetry-distinct sites (fractional):
Sc: 0.0000 0.0000 0.2085
Pa: 0.0000 0.0000 0.5000
Pa: 0.3333 0.6667 0.0000
S: 0.3333 0.6667 0.3415

Record 3
Entry from Alexandria via LeMat-Bulk: crystalline Sc2PaS4 at its relaxed geometry (GGA-PBE).

E_form (uncorrected)   -1.78 eV per atom
Total magnetic moment   4.3 Bohr magnetons per cell

Cell: 3.698 12.236 12.480 Å, 90.00 90.00 90.00°
Space group Cmcm (No. 63)
Symmetry-distinct sites (fractional):
Sc: 0.000 0.134 0.062
Pa: 0.000 0.382 0.250
S: 0.000 0.047 0.250
S: 0.000 0.230 0.623
S: 0.000 0.500 0.000

Record 4
Entry from Alexandria via LeMat-Bulk: crystalline ScPa2S4 at its relaxed geometry (GGA-PBE).

E_form (uncorrected)   -1.58 eV per atom
Total magnetic moment   4.5 Bohr magnetons per cell

Cell: 3.605 12.705 13.259 Å, 90.00 90.00 90.00°
Space group Cmcm (No. 63)
Symmetry-distinct sites (fractional):
Sc: 0.000 0.119 0.250
Pa: 0.000 0.357 0.068
S: 0.000 0.000 0.000
S: 0.000 0.292 0.632
S: 0.000 0.465 0.250

Record 5
Entry from Alexandria via LeMat-Bulk: crystalline Sc2PaS at its relaxed geometry (GGA-PBE).

E_form (uncorrected)   -0.58 eV per atom
Total magnetic moment   0.0 Bohr magnetons per cell

Cell: 3.3139 3.3139 28.1127 Å, 90.00 90.00 120.00°
Space group R-3m (No. 166, hexagonal axes)
Symmetry-distinct sites (fractional):
Sc: 0.0000 0.0000 0.1092
Pa: 0.0000 0.0000 0.0000
S: 0.0000 0.0000 0.5000

Record 6
Entry from Alexandria via LeMat-Bulk: crystalline Sc2PaS3 at its relaxed geometry (GGA-PBE).

E_form (uncorrected)   -1.74 eV per atom
Total magnetic moment   0.0 Bohr magnetons per cell

Cell: 3.701 5.368 11.413 Å, 90.00 90.00 90.00°
Space group Immm (No. 71)
Symmetry-distinct sites (fractional):
Sc: 0.000 0.000 0.163
Pa: 0.000 0.000 0.500
S: 0.000 0.500 0.178
S: 0.000 0.500 0.500